! DyErPu2Se5 (PBE, relaxed); values from VASP
&SYSTEM
  ibrav = 0, nat = 9, ntyp = 4
/
ATOMIC_SPECIES
Dy 162.50 Dy.upf
Er 167.26 Er.upf
Pu 244.00 Pu.upf
Se 78.96 Se.upf
ATOMIC_POSITIONS angstrom
Dy 0.000 0.000 0.000
Er 0.000 0.000 5.370
Pu 2.553 2.553 3.300
Pu 2.553 2.553 7.440
Se 0.000 0.000 2.628
Se 0.000 0.000 8.111
Se 0.000 2.553 5.370
Se 2.553 0.000 5.370
Se 2.553 2.553 0.000
CELL_PARAMETERS angstrom
5.105 0.000 0.000
0.000 5.105 0.000
0.000 0.000 10.739
! final energy	-7.31	eV per atom
! uncorrected formation energy	-1.17	eV/atom
! spin magnetization	11.9	Bohr magnetons per cell

---

! K3GaTc (PBE, relaxed); values from VASP
&SYSTEM
  ibrav = 0, nat = 5, ntyp = 3
/
ATOMIC_SPECIES
K 39.10 K.upf
Ga 69.72 Ga.upf
Tc 98.00 Tc.upf
ATOMIC_POSITIONS angstrom
K 0.000 0.000 3.200
K 0.000 3.200 0.000
K 3.200 0.000 0.000
Ga 0.000 0.000 0.000
Tc 3.200 3.200 3.200
CELL_PARAMETERS angstrom
6.399 0.000 0.000
0.000 6.399 0.000
0.000 0.000 6.399
! polymorph energy (0 for the lowest one)	0	meV/atom
! formation energy	1270	meV/atom
! final energy	-2.07	eV per atom
! spin magnetization	4.2	Bohr magnetons per cell

---

| no. | V (Å³ per atom) |
| --- | --- |
| 1 | 31.10 |
| 2 | 52.40 |